First-principles (GGA-PBE) data for a relaxed structure of Sm2Ge3RuPt4, as listed in the Alexandria database.

Cell and atoms, written as extended XYZ:
```
10
Lattice="-0.1455 -0.1653 -4.2286 -1.0547 -4.0962 0.1964 -10.2749 2.6576 0.2496" Properties=species:S:1:pos:R:3 pbc="T T T"
Sm -8.2344 -0.0547 0.2854
Sm -2.6407 0.5816 -2.0519
Pt -0.6001 -2.1307 -2.0161
Pt -6.6382 1.6155 -1.9548
Pt -4.2368 -1.0886 0.1883
Pt 0.0000 0.0000 0.0000
Ru -5.7376 -0.8019 -1.8913
Ge -5.1375 1.3288 0.1248
Ge -8.9834 2.2221 -1.8979
Ge -1.8917 -1.6952 0.1313
```

Results
Calculated formation energy ... -0.736 eV/atom
Fermi-level density of states ... 9.94 states/eV/f.u.
Magnetization ... 0.50 μB/cell
Electronic total energy ... -64.08 eV for the cell shown

***

First-principles (GGA-PBE) data for a relaxed structure of SmGe2RuPt, as listed in the Alexandria database.

Cell and atoms, written as extended XYZ:
```
5
Lattice="-2.7045 0.5066 3.1530 -1.9111 -3.5669 -1.0661 5.5259 -1.1477 2.1472" Properties=species:S:1:pos:R:3 pbc="T T T"
Ge -1.5259 -2.1808 1.8186
Ge 2.4363 -2.0273 2.4155
Ru 0.2568 -1.0857 3.1718
Pt 0.6535 -3.1224 1.0622
Sm 0.0000 0.0000 0.0000
```

Results
Calculated formation energy ... -0.777 eV/atom
Fermi-level density of states ... 1.96 states/eV/f.u.
Magnetization ... 0.00 μB/cell
Electronic total energy ... -33.15 eV for the cell shown

***

First-principles (GGA-PBE) data for a relaxed structure of Sr2Ge4RuPt3, as listed in the Alexandria database.

Cell and atoms, written as extended XYZ:
```
10
Lattice="4.3333 0.0000 0.0000 0.0000 4.3333 0.0000 0.0000 0.0000 10.5213" Properties=species:S:1:pos:R:3 pbc="T T T"
Pt 0.0000 0.0000 5.2607
Pt 0.0000 2.1667 1.3597
Pt 2.1667 0.0000 9.1617
Ge 0.0000 2.1667 3.9439
Ge 2.1667 0.0000 6.5775
Ge 0.0000 0.0000 0.0000
Ge 2.1667 2.1667 0.0000
Sr 0.0000 2.1667 7.9148
Sr 2.1667 0.0000 2.6065
Ru 2.1667 2.1667 5.2607
```

Results
Calculated formation energy ... -0.747 eV/atom
Fermi-level density of states ... 6.08 states/eV/f.u.
Magnetization ... 0.00 μB/cell
Electronic total energy ... -56.70 eV for the cell shown

***

First-principles (GGA-PBE) data for a relaxed structure of Ge2Pt2S, as listed in the Alexandria database.

Cell and atoms, written as extended XYZ:
```
5
Lattice="-1.1077 -2.8323 -2.5394 3.5308 0.2188 -1.7842 3.2547 -5.2925 1.3925" Properties=species:S:1:pos:R:3 pbc="T T T"
Pt 1.6793 -4.7158 -1.6543
Pt 3.9985 -3.1902 -1.2767
Ge 1.6527 -2.1674 -1.3943
Ge 4.0251 -5.7386 -1.5367
S 0.0000 0.0000 0.0000
```

Results
Formation energy without anion corrections ... -0.06 eV/atom
Fermi-level density of states ... 0.66 states/eV/f.u.
Magnetization ... 0.00 μB/cell
Electronic total energy ... -25.73 eV for the cell shown